# 1
DFT (PBE) results for La2ZrP after structural relaxation.

Properties
- DFT formation energy (eV per atom) = -0.30
- crystal system = tetragonal
- SG = I-42d, No. 122

Lattice parameters (Å, degrees): 7.2976 7.2976 7.2976 97.05 97.05 138.99
Closest atoms and distances in Å follow each position.
Fractional positions:
La  0.0256  0.6250  0.9006  2 P 2.89, 2 La 3.20
La  0.3750  0.2756  0.4006  2 P 2.89, 2 La 3.20
La  0.7244  0.1250  0.0994  2 P 2.89, 2 La 3.20
La  0.8750  0.9744  0.5994  2 P 2.89, 2 La 3.20
Zr  0.2500  0.7500  0.5000  2 P 2.56
Zr  0.5000  0.5000  0.0000  2 P 2.56
P  0.0000  0.0000  0.0000  2 Zr 2.56
P  0.7500  0.2500  0.5000  2 Zr 2.56

***

# 2
DFT (PBE) results for La2ZrP after structural relaxation.

Properties
- DFT formation energy (eV per atom) = -0.57
- crystal system = tetragonal
- SG = P4mm, No. 99

Lattice parameters (Å, degrees): 3.5978 3.5978 8.3176 90.00 90.00 90.00
Closest atoms and distances in Å follow each position.
Fractional positions:
La  0.0000  0.0000  0.0000  1 P 3.24, 4 Zr 3.40, 4 La 3.60
La  0.5000  0.5000  0.3728  1 Zr 2.97, 4 P 3.22
Zr  0.5000  0.5000  0.7293  4 P 2.73, 1 La 2.97
P  0.0000  0.0000  0.6100  4 Zr 2.73

***

# 3
DFT (PBE) results for La2ZrP after structural relaxation.

Properties
- DFT formation energy (eV per atom) = -0.28
- crystal system = tetragonal
- SG = I-4m2, No. 119

Lattice parameters (Å, degrees): 5.8043 5.8043 5.8043 134.25 134.25 66.70
Closest atoms and distances in Å follow each position.
Fractional positions:
La  0.0000  0.0000  0.0000  4 Zr 3.19, 4 La 3.31, 4 P 3.31
La  0.7500  0.2500  0.5000  4 P 3.19, 4 Zr 3.31, 4 La 3.31
Zr  0.5000  0.5000  0.0000  8 La 3.19-3.31, 4 P 3.31
P  0.2500  0.7500  0.5000  8 La 3.19-3.31, 4 Zr 3.31

***

# 4
DFT (PBE) results for LaZrP2 after structural relaxation.

Properties
- DFT formation energy (eV per atom) = -1.35
- crystal system = trigonal
- SG = R3m, No. 160
- E above lowest polymorph (meV per atom) = 107.9

Lattice parameters (Å, degrees): 7.2929 7.2929 7.2929 30.82 30.82 30.82
Closest atoms and distances in Å follow each position.
Fractional positions:
La  0.0000  0.0000  0.0000  6 P 2.92-3.04
Zr  0.1735  0.1735  0.1735  6 P 2.67-2.73
P  0.5769  0.5769  0.5769  3 Zr 2.67, 3 La 2.92
P  0.7653  0.7653  0.7653  3 Zr 2.73, 3 La 3.04

***

# 5
DFT (PBE) results for La2ZrP after structural relaxation.

Properties
- DFT formation energy (eV per atom) = -0.34
- crystal system = tetragonal
- SG = P4/mmm, No. 123

Lattice parameters (Å, degrees): 4.6395 4.6395 4.5232 90.00 90.00 90.00
Closest atoms and distances in Å follow each position.
Fractional positions:
La  0.0000  0.5000  0.0000  4 Zr 3.24, 4 P 3.24, 4 La 3.28
La  0.5000  0.0000  0.0000  4 Zr 3.24, 4 P 3.24, 4 La 3.28
Zr  0.0000  0.0000  0.5000  8 La 3.24, 4 P 3.28
P  0.5000  0.5000  0.5000  8 La 3.24, 4 Zr 3.28

***

# 6
DFT (PBE) results for LaZrP2 after structural relaxation.

Properties
- DFT formation energy (eV per atom) = -1.27
- crystal system = tetragonal
- SG = P4/mmm, No. 123
- E above lowest polymorph (meV per atom) = 183.7

Lattice parameters (Å, degrees): 4.0196 4.0196 5.6336 90.00 90.00 90.00
Closest atoms and distances in Å follow each position.
Fractional positions:
La  0.0000  0.0000  0.0000  6 P 2.82-2.84
Zr  0.5000  0.5000  0.5000  6 P 2.82-2.84
P  0.0000  0.0000  0.5000  2 La 2.82, 4 Zr 2.84
P  0.5000  0.5000  0.0000  2 Zr 2.82, 4 La 2.84

***

# 7
DFT (PBE) results for La2ZrP after structural relaxation.

Properties
- DFT formation energy (eV per atom) = -0.58
- crystal system = orthorhombic
- SG = Amm2, No. 38

Lattice parameters (Å, degrees): 4.3819 6.1668 6.1668 41.19 90.00 90.00
Closest atoms and distances in Å follow each position.
Fractional positions:
La  0.0000  0.0000  0.0000  4 P 3.20, 3 Zr 3.23-3.38
La  0.5000  0.2915  0.2915  4 Zr 3.23, 3 P 3.28-3.31
Zr  0.0000  0.7072  0.7072  2 P 2.67
P  0.5000  0.5755  0.5755  2 Zr 2.67

***

# 8
DFT (PBE) results for LaZr2P2 after structural relaxation.

Properties
- DFT formation energy (eV per atom) = -0.86
- crystal system = tetragonal
- SG = I4/mmm, No. 139
- E above lowest polymorph (meV per atom) = 134.4

Lattice parameters (Å, degrees): 5.8465 5.8465 5.8465 129.97 129.97 73.46
Closest atoms and distances in Å follow each position.
Fractional positions:
La  0.0000  0.0000  0.0000  2 Zr 3.19, 8 P 3.41
Zr  0.3408  0.3408  0.0000  4 P 2.61
Zr  0.6592  0.6592  0.0000  4 P 2.61
P  0.2500  0.7500  0.5000  4 Zr 2.61
P  0.7500  0.2500  0.5000  4 Zr 2.61

***

# 9
DFT (PBE) results for La2ZrP after structural relaxation.

Properties
- DFT formation energy (eV per atom) = -0.35
- crystal system = orthorhombic
- SG = Cmmm, No. 65

Lattice parameters (Å, degrees): 5.2998 5.2998 3.7469 90.00 90.00 108.52
Closest atoms and distances in Å follow each position.
Fractional positions:
La  0.0000  0.5000  0.0000  2 La 3.10, 4 P 3.25, 4 Zr 3.25
La  0.5000  0.0000  0.0000  2 La 3.10, 4 P 3.25, 4 Zr 3.25
Zr  0.0000  0.0000  0.5000  2 P 3.10, 8 La 3.25
P  0.5000  0.5000  0.5000  2 Zr 3.10, 8 La 3.25

***

# 10
DFT (PBE) results for La2ZrP2 after structural relaxation.

Properties
- DFT formation energy (eV per atom) = -1.11
- crystal system = tetragonal
- SG = P4/mbm, No. 127

Lattice parameters (Å, degrees): 7.6071 7.6071 4.1321 90.00 90.00 90.00
Closest atoms and distances in Å follow each position.
Fractional positions:
La  0.1484  0.3516  0.0000  6 P 2.89-3.15, 1 La 3.19
La  0.3516  0.8516  0.0000  6 P 2.89-3.15, 1 La 3.19
La  0.6484  0.1484  0.0000  6 P 2.89-3.15, 1 La 3.19
La  0.8516  0.6484  0.0000  6 P 2.89-3.15, 1 La 3.19
Zr  0.0000  0.0000  0.5000  4 P 2.84
Zr  0.5000  0.5000  0.5000  4 P 2.84
P  0.1641  0.6641  0.5000  2 Zr 2.84, 6 La 2.89-3.15
P  0.3359  0.1641  0.5000  2 Zr 2.84, 6 La 2.89-3.15
P  0.6641  0.8359  0.5000  2 Zr 2.84, 6 La 2.89-3.15
P  0.8359  0.3359  0.5000  2 Zr 2.84, 6 La 2.89-3.15

***

# 11
DFT (PBE) results for La2Zr2P after structural relaxation.

Properties
- DFT formation energy (eV per atom) = 0.58
- crystal system = tetragonal
- SG = I4/mmm, No. 139
- E above lowest polymorph (meV per atom) = 898.6

Lattice parameters (Å, degrees): 8.6310 8.6310 8.6310 153.31 153.31 38.10
Closest atoms and distances in Å follow each position.
Fractional positions:
La  0.2500  0.7500  0.5000  4 La 2.82
La  0.7500  0.2500  0.5000  4 La 2.82
Zr  0.0760  0.0760  0.0000  1 Zr 2.48
Zr  0.9240  0.9240  0.0000  1 Zr 2.48
P  0.5000  0.5000  0.0000  8 Zr 3.08

***

# 12
DFT (PBE) results for La2Zr2P after structural relaxation.

Properties
- DFT formation energy (eV per atom) = -0.32
- crystal system = tetragonal
- SG = P4/mbm, No. 127
- E above lowest polymorph (meV per atom) = 0.0

Lattice parameters (Å, degrees): 6.9731 6.9731 5.4364 90.00 90.00 90.00
Closest atoms and distances in Å follow each position.
Fractional positions:
La  0.1580  0.3420  0.0000  1 La 3.12, 2 Zr 3.26
La  0.3420  0.8420  0.0000  1 La 3.12, 2 Zr 3.26
La  0.6580  0.1580  0.0000  1 La 3.12, 2 Zr 3.26
La  0.8420  0.6580  0.0000  1 La 3.12, 2 Zr 3.26
Zr  0.1591  0.6591  0.5000  2 P 2.62
Zr  0.3409  0.1591  0.5000  2 P 2.62
Zr  0.6591  0.8409  0.5000  2 P 2.62
Zr  0.8409  0.3409  0.5000  2 P 2.62
P  0.0000  0.0000  0.5000  4 Zr 2.62
P  0.5000  0.5000  0.5000  4 Zr 2.62

***

# 13
DFT (PBE) results for La2ZrP after structural relaxation.

Properties
- DFT formation energy (eV per atom) = -0.16
- crystal system = tetragonal
- SG = I4/mmm, No. 139

Lattice parameters (Å, degrees): 5.8279 5.8279 5.8279 134.24 134.24 66.72
Closest atoms and distances in Å follow each position.
Fractional positions:
La  0.2500  0.7500  0.5000  4 La 3.20, 4 P 3.33, 4 Zr 3.33
La  0.7500  0.2500  0.5000  4 La 3.20, 4 P 3.33, 4 Zr 3.33
Zr  0.0000  0.0000  0.0000  4 P 3.20, 8 La 3.33
P  0.5000  0.5000  0.0000  4 Zr 3.20, 8 La 3.33

***

# 14
DFT (PBE) results for LaZr2P2 after structural relaxation.

Properties
- DFT formation energy (eV per atom) = -1.00
- crystal system = tetragonal
- SG = P4/mbm, No. 127
- E above lowest polymorph (meV per atom) = 0.0

Lattice parameters (Å, degrees): 7.5808 7.5808 3.5123 90.00 90.00 90.00
Closest atoms and distances in Å follow each position.
Fractional positions:
La  0.0000  0.0000  0.0000  4 P 2.95
La  0.5000  0.5000  0.0000  4 P 2.95
Zr  0.1506  0.3494  0.5000  6 P 2.79-2.90
Zr  0.3494  0.8494  0.5000  6 P 2.79-2.90
Zr  0.6506  0.1506  0.5000  6 P 2.79-2.90
Zr  0.8494  0.6506  0.5000  6 P 2.79-2.90
P  0.1344  0.6344  0.0000  6 Zr 2.79-2.90, 1 P 2.88, 2 La 2.95
P  0.3656  0.1344  0.0000  6 Zr 2.79-2.90, 1 P 2.88, 2 La 2.95
P  0.6344  0.8656  0.0000  6 Zr 2.79-2.90, 1 P 2.88, 2 La 2.95
P  0.8656  0.3656  0.0000  6 Zr 2.79-2.90, 1 P 2.88, 2 La 2.95